1.
VASP calculation (PBE) on crystalline PrNd3Er4 at its relaxed geometry.

Cell lengths 3.454, 8.980, 8.980 Å; angles 81.26, 78.91, 78.91 degrees
Atoms (fractional coordinates):
Pr 0.500 0.000 0.000
Nd 0.758 0.242 0.242
Nd 0.242 0.758 0.758
Nd 0.000 0.500 0.500
Er 0.635 0.114 0.615
Er 0.365 0.886 0.385
Er 0.365 0.385 0.886
Er 0.635 0.615 0.114

Output
The value obtained for the uncorrected energy is -36.2 eV for the cell shown. The value obtained for the polymorph energy (0 for the lowest one) is 110 meV per atom. Its crystal system is orthorhombic. The calculation puts the calculated density at 7.75 Mg/m³. As for the density of states at the Fermi level: 1.666 states/eV/atom. As for the formation energy: 0.1390 eV per atom. The space-group type is No. 71.


2.
VASP calculation (PBE) on crystalline KNaAsCl6 at its relaxed geometry.

Cell lengths 6.931, 6.931, 6.709 Å; angles 90.01, 89.99, 59.97 degrees
Each line ends with the local moment (μB).
Atoms (fractional coordinates):
K 0.000 0.000 0.000  0.00
Na 0.667 0.667 0.500  0.00
As 0.333 0.333 0.500  0.13
Cl 0.044 0.346 0.291  0.08
Cl 0.346 0.044 0.709  0.08
Cl 0.610 0.346 0.709  0.08
Cl 0.044 0.610 0.709  0.08
Cl 0.346 0.610 0.291  0.08
Cl 0.610 0.044 0.291  0.08

Output
The value obtained for the uncorrected energy is -28.1 eV for the cell shown. The formation energy from raw total energies is -9.99 eV per formula unit. Its crystal system is trigonal. The calculation puts the calculated density at 2.08 Mg/m³. As for the density of states at the Fermi level: 0.515 states/eV/atom. The space-group type is No. 149.


3.
VASP calculation (PBE) on crystalline Pm4Sm2Er at its relaxed geometry.

Cell lengths 5.993, 6.125, 7.229 Å; angles 115.07, 90.00, 90.00 degrees
Atoms (fractional coordinates):
Pm 0.500 0.638 0.276
Pm 0.000 0.809 0.618
Pm 0.500 0.362 0.724
Pm 0.000 0.191 0.382
Sm 0.500 0.109 0.218
Sm 0.500 0.891 0.782
Er 0.000 0.500 0.000

Output
The value obtained for the uncorrected energy is -29.9 eV for the cell shown. The value obtained for the polymorph energy (0 for the lowest one) is 290 meV per atom. Its crystal system is orthorhombic. The calculation puts the calculated density at 7.24 Mg/m³. As for the density of states at the Fermi level: 1.606 states/eV/atom. As for the formation energy: 0.4433 eV per atom. The space-group type is No. 65.


4.
VASP calculation (PBE) on crystalline BaTcTe at its relaxed geometry.

Cell lengths 6.806, 6.806, 3.546 Å; angles 74.90, 74.90, 30.20 degrees
Atoms (fractional coordinates):
Ba 0.991 0.991 0.009
Tc 0.299 0.299 0.701
Te 0.710 0.710 0.290

Output
The value obtained for the uncorrected energy is -15.4 eV for the cell shown. The value obtained for the polymorph energy (0 for the lowest one) is 365 meV per atom. The formation energy from raw total energies is 0.07 eV per formula unit. Its crystal system is tetragonal. The calculation puts the calculated density at 7.57 Mg/m³. As for the density of states at the Fermi level: 1.163 states/eV/atom. The space-group type is No. 107.


5.
VASP calculation (PBE) on crystalline Li2MgBi2 at its relaxed geometry.

Cell lengths 4.847, 6.358, 9.638 Å; angles 84.99, 75.44, 67.59 degrees
Atoms (fractional coordinates):
Li 0.351 0.224 0.073
Li 0.362 0.479 0.796
Li 0.649 0.776 0.927
Li 0.638 0.521 0.204
Mg 0.800 0.022 0.378
Mg 0.200 0.978 0.622
Bi 0.942 0.216 0.899
Bi 0.151 0.318 0.380
Bi 0.058 0.784 0.101
Bi 0.849 0.682 0.620

Output
The value obtained for the uncorrected energy is -29.3 eV for the cell shown. The value obtained for the polymorph energy (0 for the lowest one) is 0 meV per atom. Its crystal system is monoclinic. The calculation puts the calculated density at 5.70 Mg/m³. As for the density of states at the Fermi level: 0.104 states/eV/atom. As for the formation energy: -0.2936 eV per atom. The space-group type is No. 12.


6.
VASP calculation (PBE) on crystalline Mn2ZnWN at its relaxed geometry.

Cell lengths 4.991, 3.865, 4.991 Å; angles 90.00, 90.00, 90.00 degrees
Each line ends with the local moment (μB).
Atoms (fractional coordinates):
Zn 0.500 0.500 0.500  -0.01
Mn 0.000 0.000 0.500  3.58
Mn 0.500 0.000 0.000  3.91
W 0.000 0.000 0.000  -0.74
N 0.000 0.500 0.000  0.20

Output
The value obtained for the uncorrected energy is -35.8 eV for the cell shown. The value obtained for the polymorph energy (0 for the lowest one) is 1057 meV per atom. The formation energy from raw total energies is 5.06 eV per formula unit. Its crystal system is tetragonal. The calculation puts the calculated density at 6.43 Mg/m³. As for the density of states at the Fermi level: 0.509 states/eV/atom. The space-group type is No. 123.


7.
VASP calculation (PBE) on crystalline ZrTa2Ru at its relaxed geometry.

Cell lengths 5.512, 5.512, 4.689 Å; angles 64.85, 64.85, 34.07 degrees
Atoms (fractional coordinates):
Ru 0.255 0.255 0.245
Ta 0.989 0.989 0.011
Ta 0.746 0.746 0.754
Zr 0.509 0.509 0.491

Output
The value obtained for the uncorrected energy is -42.2 eV for the cell shown. Its crystal system is orthorhombic. The calculation puts the calculated density at 12.87 Mg/m³. As for the density of states at the Fermi level: 0.900 states/eV/atom. As for the formation energy: -0.1758 eV per atom. The space-group type is No. 44.


8.
VASP calculation (PBE) on crystalline Ba4AsAuO at its relaxed geometry.

Cell lengths 7.600, 7.476, 9.300 Å; angles 90.00, 114.12, 90.00 degrees
Atoms (fractional coordinates):
Ba 0.923 0.250 0.846
Ba 0.431 0.750 0.861
Ba 0.077 0.750 0.154
Ba 0.569 0.250 0.139
Ba 0.500 0.500 0.500
Ba 0.000 0.000 0.500
Ba 0.500 0.000 0.500
Ba 0.000 0.500 0.500
As 0.621 0.750 0.242
As 0.379 0.250 0.758
Au 0.117 0.250 0.235
Au 0.883 0.750 0.765
O 0.239 0.750 0.477
O 0.761 0.250 0.523

Output
The value obtained for the uncorrected energy is -58.6 eV for the cell shown. The formation energy from raw total energies is -8.73 eV per formula unit. Its crystal system is orthorhombic. The calculation puts the calculated density at 5.76 Mg/m³. As for the density of states at the Fermi level: 0.696 states/eV/atom. The space-group type is No. 63.